Density functional theory data (GGA-PBEsol) for a relaxed structure of SrMn2TcBi.

Spin magnetization, μB per formula unit: 5.702
Space group: P4/mmm
Total energy, eV/atom: -6.40
ΔH_f (0 K), eV/f.u.: 4.9

Unit cell a=4.654 b=4.654 c=5.544 alpha=90.00 beta=90.00 gamma=90.00
Atoms (fractional coordinates):
Mn  0.000  0.500  0.000
Mn  0.500  0.000  0.000
Tc  0.000  0.000  0.000
Bi  0.500  0.500  0.500
Sr  0.000  0.000  0.500

---

Density functional theory data (GGA-PBEsol) for a relaxed structure of Mg2MoO2.

Spin magnetization, μB per formula unit: 3.577
Space group: I4/mmm
Total energy, eV/atom: -6.21
Uncorrected formation energy, kJ/mol of formula units: -518

Unit cell a=3.978 b=3.978 c=5.652 alpha=110.60 beta=110.60 gamma=90.00
Atoms (fractional coordinates):
Mg  0.250  0.750  0.500
Mg  0.750  0.250  0.500
O  0.214  0.214  0.428
O  0.786  0.786  0.572
Mo  0.000  0.000  0.000

---

Density functional theory data (GGA-PBEsol) for a relaxed structure of LiZr2Al.

Spin magnetization, μB per formula unit: 0.000
Space group: Amm2
Total energy, eV/atom: -6.13
ΔH_f (0 K), eV/f.u.: -0.3

Unit cell a=3.113 b=4.355 c=5.832 alpha=90.00 beta=105.48 gamma=90.00
Atoms (fractional coordinates):
Zr  0.946  0.000  0.892
Zr  0.294  0.500  0.589
Li  0.558  0.500  0.116
Al  0.683  0.000  0.367

---

Density functional theory data (GGA-PBEsol) for a relaxed structure of Os3Rh.

Spin magnetization, μB per formula unit: 0.000
Space group: P-6m2
Total energy, eV/atom: -11.19
ΔH_f (0 K), eV/f.u.: 0.0

Unit cell a=2.723 b=2.723 c=8.614 alpha=90.00 beta=90.00 gamma=120.00
Atoms (fractional coordinates):
Rh  0.000  0.000  0.500
Os  0.333  0.667  0.753
Os  0.333  0.667  0.247
Os  0.000  0.000  0.000